Computed, not measured: crystalline BaRuC3 at its relaxed geometry at the PBE-GGA level of DFT.

Lattice parameters (Å, degrees): 4.137 4.137 4.137 90.00 90.00 90.00
Space group Pm-3m (No. 221)
Asymmetric unit:
Ba1 0.000 0.000 0.000 x1
Ru1 0.500 0.500 0.500 x1
C1 0.000 0.500 0.500 x3

Results
* calculated formation energy: 1.371 eV per atom
* ρ: 6.4 g/cm³
* D(E_F): 4.443 states/eV per cell
* energy relative to the lowest polymorph listed for this composition: 0 meV/atom